{"formula": "NbVNF2", "functional": "GGA+U", "state": "relaxed", "volume_a3_per_atom": 14.25, "e_above_lowest_polymorph_ev_per_atom": 0.000, "cell": [[4.175, 0.000, 0.000], [0.000, 4.175, 0.000], [0.000, 0.000, 4.088]], "species": ["Nb", "V", "N", "F", "F"], "frac_coords": [[0.000, 0.000, 0.000], [0.500, 0.500, 0.500], [0.000, 0.000, 0.500], [0.000, 0.500, 0.000], [0.500, 0.000, 0.000]]}